[1]
First-principles (PBE-GGA) data for Ca2CdRe after structural relaxation, as listed in Alexandria via LeMat-Bulk.

Lattice parameters (Å, degrees): 2.993 3.601 8.865 90.00 90.00 90.00
Positions (direct):
Re  0.500  0.500  0.750
Cd  0.500  0.500  0.250
Ca  0.000  0.000  0.970
Ca  0.000  0.000  0.530

Energy of formation   0.452 eV per atom
DFT total energy   -15.56 eV per formula unit

---

[2]
First-principles (PBE-GGA) data for Tb3SbTe3 after structural relaxation, as listed in Alexandria via LeMat-Bulk.

Lattice parameters (Å, degrees): 7.802 7.802 11.716 70.55 70.55 60.00
Positions (direct):
Tb  0.062  0.686  0.815
Tb  0.686  0.437  0.815
Tb  0.563  0.938  0.185
Tb  0.314  0.563  0.185
Tb  0.938  0.314  0.185
Tb  0.437  0.062  0.815
Te  0.106  0.406  0.681
Te  0.894  0.594  0.319
Te  0.194  0.894  0.319
Te  0.594  0.194  0.319
Te  0.806  0.106  0.681
Te  0.406  0.806  0.681
Sb  0.333  0.333  0.000
Sb  0.667  0.667  0.000

Raw formation energy   -1.104 eV per atom
DFT total energy   -35.17 eV per formula unit

---

[3]
First-principles (PBE-GGA) data for ZrAs2Cl after structural relaxation, as listed in Alexandria via LeMat-Bulk.

Lattice parameters (Å, degrees): 5.558 5.558 5.558 137.97 137.97 60.95
Positions (direct):
Zr  0.750  0.250  0.500
Cl  0.250  0.750  0.500
As  0.000  0.000  0.000
As  0.500  0.500  0.000

Raw formation energy   -0.399 eV per atom
DFT total energy   -21.29 eV per formula unit
Energy above the most stable polymorph in this dataset   333 meV/atom

---

[4]
First-principles (PBE-GGA) data for Dy3Sc5 after structural relaxation, as listed in Alexandria via LeMat-Bulk.

Lattice parameters (Å, degrees): 3.434 5.356 11.845 90.00 90.00 90.00
Positions (direct):
Sc  0.500  0.500  0.050
Sc  0.000  0.000  0.446
Sc  0.000  0.500  0.283
Sc  0.000  0.000  0.970
Sc  0.500  0.000  0.209
Dy  0.500  0.500  0.531
Dy  0.500  0.000  0.710
Dy  0.000  0.500  0.802

Energy of formation   0.030 eV per atom
DFT total energy   -45.22 eV per formula unit
Energy above the most stable polymorph in this dataset   0 meV/atom

---

[5]
First-principles (PBE-GGA) data for TlTcCl2 after structural relaxation, as listed in Alexandria via LeMat-Bulk.

Lattice parameters (Å, degrees): 7.239 7.239 7.239 153.44 143.05 46.08
Positions (direct):
Tl  0.318  0.818  0.500
Tc  0.523  0.523  0.000
Cl  0.982  0.982  0.000
Cl  0.677  0.177  0.500

Raw formation energy   0.097 eV per atom
DFT total energy   -16.04 eV per formula unit
Energy above the most stable polymorph in this dataset   259 meV/atom

---

[6]
First-principles (PBE-GGA) data for NdHo2Ga after structural relaxation, as listed in Alexandria via LeMat-Bulk.

Lattice parameters (Å, degrees): 3.615 3.615 10.493 80.08 80.08 60.00
Positions (direct):
Ho  0.264  0.264  0.209
Ho  0.070  0.070  0.791
Nd  0.500  0.500  0.499
Ga  0.666  0.666  0.001

Energy of formation   -0.194 eV per atom
DFT total energy   -17.73 eV per formula unit
Energy above the most stable polymorph in this dataset   94 meV/atom

---

[7]
First-principles (PBE-GGA) data for KPtBr after structural relaxation, as listed in Alexandria via LeMat-Bulk.

Lattice parameters (Å, degrees): 12.427 6.515 6.515 135.14 142.34 37.66
Positions (direct):
Pt  0.838  0.004  0.996
Pt  0.892  0.506  0.494
Br  0.514  0.185  0.815
Br  0.172  0.812  0.188
K  0.380  0.978  0.022
K  0.789  0.328  0.672

Raw formation energy   -0.561 eV per atom
DFT total energy   -10.50 eV per formula unit
Energy above the most stable polymorph in this dataset   110 meV/atom

---

[8]
First-principles (PBE-GGA) data for AcCu4Ag after structural relaxation, as listed in Alexandria via LeMat-Bulk.

Lattice parameters (Å, degrees): 5.268 5.268 5.268 60.00 60.00 60.00
Positions (direct):
Ac  0.250  0.250  0.250
Cu  0.628  0.628  0.117
Cu  0.628  0.117  0.628
Cu  0.117  0.628  0.628
Cu  0.628  0.628  0.628
Ag  0.000  0.000  0.000

Energy of formation   -0.087 eV per atom
DFT total energy   -23.87 eV per formula unit

---

[9]
First-principles (PBE-GGA) data for Mg3TlSi after structural relaxation, as listed in Alexandria via LeMat-Bulk.

Lattice parameters (Å, degrees): 5.257 5.257 5.257 90.00 90.00 90.00
Positions (direct):
Mg  0.000  0.000  0.500
Mg  0.500  0.000  0.000
Mg  0.000  0.500  0.000
Si  0.500  0.500  0.500
Tl  0.000  0.000  0.000

Raw formation energy   0.687 eV per atom
DFT total energy   -9.14 eV per formula unit
Energy above the most stable polymorph in this dataset   531 meV/atom

---

[10]
First-principles (PBE-GGA) data for Rb3Tb3TmSe8 after structural relaxation, as listed in Alexandria via LeMat-Bulk.

Lattice parameters (Å, degrees): 8.346 8.350 9.515 116.08 90.00 119.99
Positions (direct):
Tb  0.000  0.500  0.500
Tb  0.500  0.500  0.500
Tb  0.500  0.000  0.500
Se  0.732  0.465  0.696
Se  0.735  0.964  0.692
Se  0.771  0.542  0.308
Se  0.771  0.036  0.308
Se  0.229  0.458  0.692
Se  0.229  0.964  0.692
Se  0.265  0.036  0.308
Se  0.268  0.535  0.304
Rb  0.500  0.500  0.000
Rb  0.000  0.500  0.000
Rb  0.000  0.000  0.000
Tm  0.000  0.000  0.500

Raw formation energy   -1.668 eV per atom
DFT total energy   -74.16 eV per formula unit

---

[11]
First-principles (PBE-GGA) data for AcTbCu2S4 after structural relaxation, as listed in Alexandria via LeMat-Bulk.

Lattice parameters (Å, degrees): 6.539 6.206 6.206 68.78 58.21 58.21
Positions (direct):
S  0.945  0.503  0.098
S  0.455  0.098  0.503
S  0.055  0.902  0.497
S  0.545  0.497  0.902
Tb  0.500  0.500  0.500
Cu  0.165  0.335  0.335
Cu  0.835  0.665  0.665
Ac  0.000  0.000  0.000

Raw formation energy   -1.297 eV per atom
DFT total energy   -43.82 eV per formula unit

---

[12]
First-principles (PBE-GGA) data for RbCuSn after structural relaxation, as listed in Alexandria via LeMat-Bulk.

Lattice parameters (Å, degrees): 5.088 6.765 11.276 132.18 122.99 41.28
Positions (direct):
Sn  0.453  0.294  0.602
Sn  0.260  0.023  0.831
Cu  0.739  0.925  0.732
Cu  0.974  0.393  0.701
Rb  0.326  0.749  0.056
Rb  0.386  0.568  0.377

Energy of formation   -0.102 eV per atom
DFT total energy   -9.37 eV per formula unit
Energy above the most stable polymorph in this dataset   0 meV/atom

---

Number 1: spin magnetization 0.00 Bohr magnetons per cell. Number 2: spin magnetization 0.00 Bohr magnetons per cell. Number 3: spin magnetization 0.00 Bohr magnetons per cell. Number 4: spin magnetization 1.04 Bohr magnetons per cell. Number 5: spin magnetization 4.07 Bohr magnetons per cell. Number 6: spin magnetization 0.00 Bohr magnetons per cell. Number 7: spin magnetization 0.00 Bohr magnetons per cell. Number 8: spin magnetization 0.00 Bohr magnetons per cell. Number 9: spin magnetization 0.00 Bohr magnetons per cell. Number 10: spin magnetization 0.00 Bohr magnetons per cell. Number 11: spin magnetization 0.00 Bohr magnetons per cell. Number 12: spin magnetization 0.00 Bohr magnetons per cell.